1.
A plane-wave DFT calculation with PBE was carried out for a relaxed Ho12Er2Tm5 crystal.

Lattice parameters (Å, degrees): 9.0154 9.0154 8.4078 90.78 90.78 60.43
Closest atoms and distances in Å follow each position.
Sites, in units of the cell vectors:
Ho1 0.0582 0.0582 0.3350  7 Ho 3.34-3.42, 2 Tm 3.34-3.51, 2 Er 3.36
Ho2 0.0673 0.6799 0.3378  4 Tm 3.32-3.66, 5 Ho 3.37-3.51, 1 Er 3.48
Ho3 0.1622 0.5270 0.7570  4 Ho 3.31-3.56, 1 Er 3.39, 5 Tm 3.44-3.69
Ho4 0.3201 0.9327 0.6622  4 Tm 3.32-3.66, 5 Ho 3.37-3.51, 1 Er 3.48
Ho5 0.4075 0.4075 0.1145  3 Tm 3.37-3.53, 5 Ho 3.40-3.56, 2 Er 3.41
Ho6 0.4730 0.8378 0.2430  4 Ho 3.31-3.56, 1 Er 3.39, 5 Tm 3.44-3.69
Ho7 0.5270 0.1622 0.7570  4 Ho 3.31-3.56, 1 Er 3.39, 5 Tm 3.44-3.69
Ho8 0.5925 0.5925 0.8855  3 Tm 3.37-3.53, 5 Ho 3.40-3.56, 2 Er 3.41
Ho9 0.6799 0.0673 0.3378  4 Tm 3.32-3.66, 5 Ho 3.37-3.51, 1 Er 3.48
Ho10 0.8378 0.4730 0.2430  4 Ho 3.31-3.56, 1 Er 3.39, 5 Tm 3.44-3.69
Ho11 0.9327 0.3201 0.6622  4 Tm 3.32-3.66, 5 Ho 3.37-3.51, 1 Er 3.48
Ho12 0.9418 0.9418 0.6650  7 Ho 3.34-3.42, 2 Tm 3.34-3.51, 2 Er 3.36
Er1 0.1777 0.8223 0.0000  1 Er 3.22, 8 Ho 3.36-3.48, 2 Tm 3.47
Er2 0.8223 0.1777 0.0000  1 Er 3.22, 8 Ho 3.36-3.48, 2 Tm 3.47
Tm1 0.1975 0.1975 0.0105  8 Ho 3.37-3.58, 2 Er 3.47, 1 Tm 3.64
Tm2 0.2675 0.2675 0.4259  10 Ho 3.32-3.69, 2 Tm 3.64-3.67
Tm3 0.5000 0.5000 0.5000  10 Ho 3.53-3.67, 2 Tm 3.67
Tm4 0.7325 0.7325 0.5741  10 Ho 3.32-3.69, 2 Tm 3.64-3.67
Tm5 0.8025 0.8025 0.9895  8 Ho 3.37-3.58, 2 Er 3.47, 1 Tm 3.64

VASP energy, eV for the cell shown: -84.0
Theoretical density, g/cm³: 8.82
Spin magnetization, μB per cell: 0.00
DOS(E_F), states/eV per atom: 1.493

2.
A plane-wave DFT calculation with PBE was carried out for a relaxed Sm15Er4Tm crystal.

Lattice parameters (Å, degrees): 5.0950 5.0950 25.3898 90.00 90.00 90.00
Closest atoms and distances in Å follow each position.
Sites, in units of the cell vectors:
Sm1 0.0000 0.0000 0.0000  8 Sm 3.59, 4 Tm 3.60
Sm2 0.0000 0.0000 0.1999  8 Sm 3.60, 4 Er 3.60
Sm3 0.0000 0.0000 0.4000  8 Sm 3.60, 4 Er 3.60
Sm4 0.0000 0.0000 0.6000  8 Sm 3.60, 4 Er 3.60
Sm5 0.0000 0.0000 0.8001  8 Sm 3.60, 4 Er 3.60
Sm6 0.0000 0.5000 0.0998  2 Tm 3.59, 8 Sm 3.59-3.60, 2 Er 3.60
Sm7 0.0000 0.5000 0.3000  4 Er 3.60, 8 Sm 3.60
Sm8 0.0000 0.5000 0.5000  8 Sm 3.60, 4 Er 3.60
Sm9 0.0000 0.5000 0.7000  4 Er 3.60, 8 Sm 3.60
Sm10 0.0000 0.5000 0.9002  2 Tm 3.59, 8 Sm 3.59-3.60, 2 Er 3.60
Sm11 0.5000 0.0000 0.0998  2 Tm 3.59, 8 Sm 3.59-3.60, 2 Er 3.60
Sm12 0.5000 0.0000 0.3000  4 Er 3.60, 8 Sm 3.60
Sm13 0.5000 0.0000 0.5000  8 Sm 3.60, 4 Er 3.60
Sm14 0.5000 0.0000 0.7000  4 Er 3.60, 8 Sm 3.60
Sm15 0.5000 0.0000 0.9002  2 Tm 3.59, 8 Sm 3.59-3.60, 2 Er 3.60
Er1 0.5000 0.5000 0.1999  12 Sm 3.60
Er2 0.5000 0.5000 0.4000  12 Sm 3.60
Er3 0.5000 0.5000 0.6000  12 Sm 3.60
Er4 0.5000 0.5000 0.8001  12 Sm 3.60
Tm1 0.5000 0.5000 0.0000  12 Sm 3.59-3.60

VASP energy, eV for the cell shown: -93.2
Theoretical density, g/cm³: 7.79
Spin magnetization, μB per cell: 0.00
DOS(E_F), states/eV per atom: 1.330

3.
A plane-wave DFT calculation with PBE was carried out for a relaxed NaUGa2 crystal.

Lattice parameters (Å, degrees): 2.8248 2.8248 9.8532 90.00 90.00 90.00
Closest atoms and distances in Å follow each position.
Sites, in units of the cell vectors:
Na1 0.0000 0.0000 0.0000  4 Na 2.82
U1 0.0000 0.0000 0.5000  4 U 2.82, 8 Ga 3.14
Ga1 0.5000 0.5000 0.2546  4 Ga 2.82, 4 U 3.14
Ga2 0.5000 0.5000 0.7454  4 Ga 2.82, 4 U 3.14

VASP energy, eV for the cell shown: -18.8
Theoretical density, g/cm³: 8.46
Spin magnetization, μB per cell: 1.34
DOS(E_F), states/eV per atom: 1.132

What did the first record say?
A plane-wave DFT calculation with PBE was carried out for a relaxed Ho12Er2Tm5 crystal.

Lattice parameters (Å, degrees): 9.0154 9.0154 8.4078 90.78 90.78 60.43
Closest atoms and distances in Å follow each position.
Sites, in units of the cell vectors:
Ho1 0.0582 0.0582 0.3350  7 Ho 3.34-3.42, 2 Tm 3.34-3.51, 2 Er 3.36
Ho2 0.0673 0.6799 0.3378  4 Tm 3.32-3.66, 5 Ho 3.37-3.51, 1 Er 3.48
Ho3 0.1622 0.5270 0.7570  4 Ho 3.31-3.56, 1 Er 3.39, 5 Tm 3.44-3.69
Ho4 0.3201 0.9327 0.6622  4 Tm 3.32-3.66, 5 Ho 3.37-3.51, 1 Er 3.48
Ho5 0.4075 0.4075 0.1145  3 Tm 3.37-3.53, 5 Ho 3.40-3.56, 2 Er 3.41
Ho6 0.4730 0.8378 0.2430  4 Ho 3.31-3.56, 1 Er 3.39, 5 Tm 3.44-3.69
Ho7 0.5270 0.1622 0.7570  4 Ho 3.31-3.56, 1 Er 3.39, 5 Tm 3.44-3.69
Ho8 0.5925 0.5925 0.8855  3 Tm 3.37-3.53, 5 Ho 3.40-3.56, 2 Er 3.41
Ho9 0.6799 0.0673 0.3378  4 Tm 3.32-3.66, 5 Ho 3.37-3.51, 1 Er 3.48
Ho10 0.8378 0.4730 0.2430  4 Ho 3.31-3.56, 1 Er 3.39, 5 Tm 3.44-3.69
Ho11 0.9327 0.3201 0.6622  4 Tm 3.32-3.66, 5 Ho 3.37-3.51, 1 Er 3.48
Ho12 0.9418 0.9418 0.6650  7 Ho 3.34-3.42, 2 Tm 3.34-3.51, 2 Er 3.36
Er1 0.1777 0.8223 0.0000  1 Er 3.22, 8 Ho 3.36-3.48, 2 Tm 3.47
Er2 0.8223 0.1777 0.0000  1 Er 3.22, 8 Ho 3.36-3.48, 2 Tm 3.47
Tm1 0.1975 0.1975 0.0105  8 Ho 3.37-3.58, 2 Er 3.47, 1 Tm 3.64
Tm2 0.2675 0.2675 0.4259  10 Ho 3.32-3.69, 2 Tm 3.64-3.67
Tm3 0.5000 0.5000 0.5000  10 Ho 3.53-3.67, 2 Tm 3.67
Tm4 0.7325 0.7325 0.5741  10 Ho 3.32-3.69, 2 Tm 3.64-3.67
Tm5 0.8025 0.8025 0.9895  8 Ho 3.37-3.58, 2 Er 3.47, 1 Tm 3.64

VASP energy, eV for the cell shown: -84.0
Theoretical density, g/cm³: 8.82
Spin magnetization, μB per cell: 0.00
DOS(E_F), states/eV per atom: 1.493

Q: Look up the theoretical density of the second one.
A: 7.79 g/cm³

Q: Look up the spin magnetization of the second one.
A: 0.00 μB per cell